No. 1
DFT (PBE-GGA) results for a relaxed structure of CsTbU.

The structure in POSCAR format:
```
CsTbU
1.0
0.000 3.789 3.789
3.789 0.000 3.789
3.789 3.789 0.000
Cs Tb U
1 1 1
Direct
0.000 0.000 0.000
0.750 0.750 0.750
0.250 0.250 0.250
```

As for the crystal system: cubic. As for the energy above the lowest structure with this stoichiometry: 11 meV/atom. The volume is 108.8 Å³/cell. The spin magnetization comes out at 3.6 μB/cell. As for the total energy: -3.602 eV/atom.

No. 2
DFT (PBE-GGA) results for a relaxed structure of CsTbU.

The structure in POSCAR format:
```
CsTbU
1.0
0.000 4.236 4.236
4.236 0.000 4.236
4.236 4.236 0.000
Cs Tb U
1 1 1
Direct
0.000 0.000 0.000
0.500 0.500 0.500
0.250 0.250 0.250
```

As for the crystal system: cubic. As for the energy above the lowest structure with this stoichiometry: 0 meV/atom. The volume is 152.0 Å³/cell. The spin magnetization comes out at 6.9 μB/cell. As for the total energy: -3.613 eV/atom.

No. 3
DFT (PBE-GGA) results for a relaxed structure of CsTbY.

The structure in POSCAR format:
```
CsTbY
1.0
0.000 4.320 4.320
4.320 0.000 4.320
4.320 4.320 0.000
Cs Tb Y
1 1 1
Direct
0.000 0.000 0.000
0.500 0.500 0.500
0.250 0.250 0.250
```

As for the crystal system: cubic. The volume is 161.3 Å³/cell. The spin magnetization comes out at 3.4 μB/cell. As for the total energy: -2.720 eV/atom.

No. 4
DFT (PBE-GGA) results for a relaxed structure of CsTc2.

The structure in POSCAR format:
```
CsTc2
1.0
0.000 3.132 3.132
3.132 0.000 3.132
3.132 3.132 0.000
Cs Tc
1 2
Direct
0.000 0.000 0.000
0.250 0.250 0.250
0.750 0.750 0.750
```

As for the crystal system: cubic. As for the energy above the lowest structure with this stoichiometry: 1210 meV/atom. The volume is 61.5 Å³/cell. The spin magnetization comes out at 0.0 μB/cell. As for the total energy: -4.239 eV/atom.

No. 5
DFT (PBE-GGA) results for a relaxed structure of CsTc2.

The structure in POSCAR format:
```
CsTc2
1.0
0.000 3.995 3.995
3.995 0.000 3.995
3.995 3.995 0.000
Cs Tc
2 4
Direct
0.125 0.125 0.125
0.875 0.875 0.875
0.000 0.500 0.500
0.500 0.000 0.500
0.500 0.500 0.000
0.500 0.500 0.500
```

As for the crystal system: cubic. As for the energy above the lowest structure with this stoichiometry: 0 meV/atom. The volume is 127.5 Å³/cell. The spin magnetization comes out at 0.1 μB/cell. As for the total energy: -5.449 eV/atom.

No. 6
DFT (PBE-GGA) results for a relaxed structure of CsThTc.

The structure in POSCAR format:
```
CsThTc
1.0
0.000 3.491 3.491
3.491 0.000 3.491
3.491 3.491 0.000
Cs Th Tc
1 1 1
Direct
0.000 0.000 0.000
0.250 0.250 0.250
0.750 0.750 0.750
```

As for the crystal system: cubic. The volume is 85.1 Å³/cell. The spin magnetization comes out at 0.9 μB/cell. As for the total energy: -4.124 eV/atom.

No. 7
DFT (PBE-GGA) results for a relaxed structure of CsTlTc.

The structure in POSCAR format:
```
CsTlTc
1.0
0.000 3.910 3.910
3.910 0.000 3.910
3.910 3.910 0.000
Cs Tl Tc
1 1 1
Direct
0.000 0.000 0.000
0.250 0.250 0.250
0.500 0.500 0.500
```

As for the crystal system: cubic. As for the energy above the lowest structure with this stoichiometry: 0 meV/atom. The volume is 119.5 Å³/cell. The spin magnetization comes out at 3.0 μB/cell. As for the total energy: -3.014 eV/atom.

No. 8
DFT (PBE-GGA) results for a relaxed structure of CsTlTc.

The structure in POSCAR format:
```
CsTlTc
1.0
0.000 4.002 4.002
4.002 0.000 4.002
4.002 4.002 0.000
Cs Tl Tc
1 1 1
Direct
0.000 0.000 0.000
0.250 0.250 0.250
0.750 0.750 0.750
```

As for the crystal system: cubic. As for the energy above the lowest structure with this stoichiometry: 337 meV/atom. The volume is 128.2 Å³/cell. The spin magnetization comes out at 3.2 μB/cell. As for the total energy: -2.677 eV/atom.

No. 9
DFT (PBE-GGA) results for a relaxed structure of CsTmTc.

The structure in POSCAR format:
```
CsTmTc
1.0
0.000 3.611 3.611
3.611 0.000 3.611
3.611 3.611 0.000
Cs Tm Tc
1 1 1
Direct
0.000 0.000 0.000
0.250 0.250 0.250
0.500 0.500 0.500
```

As for the crystal system: cubic. The volume is 94.1 Å³/cell. The spin magnetization comes out at 1.2 μB/cell. As for the total energy: -3.488 eV/atom.

No. 10
DFT (PBE-GGA) results for a relaxed structure of CsUTc.

The structure in POSCAR format:
```
CsUTc
1.0
0.000 3.424 3.424
3.424 0.000 3.424
3.424 3.424 0.000
Cs U Tc
1 1 1
Direct
0.000 0.000 0.000
0.250 0.250 0.250
0.500 0.500 0.500
```

As for the crystal system: cubic. As for the energy above the lowest structure with this stoichiometry: 0 meV/atom. The volume is 80.3 Å³/cell. The spin magnetization comes out at 1.8 μB/cell. As for the total energy: -5.527 eV/atom.

No. 11
DFT (PBE-GGA) results for a relaxed structure of CsUTc.

The structure in POSCAR format:
```
CsUTc
1.0
0.000 3.389 3.389
3.389 0.000 3.389
3.389 3.389 0.000
Cs U Tc
1 1 1
Direct
0.000 0.000 0.000
0.250 0.250 0.250
0.750 0.750 0.750
```

As for the crystal system: cubic. As for the energy above the lowest structure with this stoichiometry: 392 meV/atom. The volume is 77.9 Å³/cell. The spin magnetization comes out at 1.9 μB/cell. As for the total energy: -5.135 eV/atom.

No. 12
DFT (PBE-GGA) results for a relaxed structure of CsThTe.

The structure in POSCAR format:
```
CsThTe
1.0
0.000 3.989 3.989
3.989 0.000 3.989
3.989 3.989 0.000
Cs Th Te
1 1 1
Direct
0.000 0.000 0.000
0.750 0.750 0.750
0.250 0.250 0.250
```

As for the crystal system: cubic. The volume is 126.9 Å³/cell. The spin magnetization comes out at 3.0 μB/cell. As for the total energy: -2.873 eV/atom.

No. 13
DFT (PBE-GGA) results for a relaxed structure of Cs2Th2Te5.

The structure in POSCAR format:
```
Cs2Th2Te5
1.0
9.341 -4.404 0.000
9.341 4.404 0.000
0.000 0.000 8.817
Cs Th Te
4 4 10
Direct
0.204 0.204 0.000
0.296 0.296 0.500
0.704 0.704 0.500
0.796 0.796 0.000
0.160 0.840 0.660
0.340 0.660 0.160
0.660 0.340 0.840
0.840 0.160 0.340
0.000 0.000 0.000
0.036 0.750 0.357
0.250 0.536 0.857
0.250 0.964 0.357
0.464 0.750 0.857
0.500 0.500 0.500
0.536 0.250 0.143
0.750 0.036 0.643
0.750 0.464 0.143
0.964 0.250 0.643
```

As for the crystal system: orthorhombic. The volume is 725.4 Å³/cell. The spin magnetization comes out at 0.0 μB/cell. As for the total energy: -4.827 eV/atom.

No. 14
DFT (PBE-GGA) results for a relaxed structure of CsZrTlTe3.

The structure in POSCAR format:
```
CsZrTlTe3
1.0
2.102 -8.837 0.000
2.102 8.837 0.000
0.000 0.000 12.761
Cs Zr Tl Te
2 2 2 6
Direct
0.205 0.795 0.750
0.795 0.205 0.250
0.500 0.500 0.000
0.500 0.500 0.500
0.111 0.889 0.250
0.889 0.111 0.750
0.113 0.887 0.000
0.113 0.887 0.500
0.485 0.515 0.250
0.515 0.485 0.750
0.887 0.113 0.000
0.887 0.113 0.500
```

As for the crystal system: orthorhombic. The volume is 474.1 Å³/cell. The spin magnetization comes out at 0.0 μB/cell. As for the total energy: -4.229 eV/atom.

No. 15
DFT (PBE-GGA) results for a relaxed structure of Cs2TmTe2.

The structure in POSCAR format:
```
Cs2TmTe2
1.0
-4.265 7.846 3.716
4.265 -7.846 3.716
4.265 7.846 -3.716
Cs Tm Te
4 2 4
Direct
0.150 0.159 0.309
0.350 0.659 0.010
0.650 0.341 0.990
0.850 0.841 0.691
0.250 0.750 0.500
0.750 0.250 0.500
0.103 0.697 0.799
0.397 0.197 0.594
0.603 0.803 0.406
0.897 0.303 0.201
```

As for the crystal system: orthorhombic. The volume is 497.4 Å³/cell. The spin magnetization comes out at 1.9 μB/cell. As for the total energy: -3.514 eV/atom.

No. 16
DFT (PBE-GGA) results for a relaxed structure of CsTmTe.

The structure in POSCAR format:
```
CsTmTe
1.0
0.000 3.795 3.795
3.795 0.000 3.795
3.795 3.795 0.000
Cs Tm Te
1 1 1
Direct
0.000 0.000 0.000
0.250 0.250 0.250
0.500 0.500 0.500
```

As for the crystal system: cubic. The volume is 109.3 Å³/cell. The spin magnetization comes out at 0.1 μB/cell. As for the total energy: -2.776 eV/atom.

No. 17
DFT (PBE-GGA) results for a relaxed structure of CsTmTe2.

The structure in POSCAR format:
```
CsTmTe2
1.0
2.253 1.301 8.903
-2.253 1.301 8.903
0.000 -2.601 8.903
Cs Tm Te
1 1 2
Direct
0.000 0.000 0.000
0.500 0.500 0.500
0.230 0.230 0.230
0.770 0.770 0.770
```

As for the crystal system: trigonal. The volume is 156.5 Å³/cell. The spin magnetization comes out at 0.0 μB/cell. As for the total energy: -4.260 eV/atom.

No. 18
DFT (PBE-GGA) results for a relaxed structure of Cs2YTmTe4.

The structure in POSCAR format:
```
Cs2YTmTe4
1.0
4.525 0.000 0.000
-2.262 3.919 0.000
0.000 0.000 17.786
Cs Y Tm Te
2 1 1 4
Direct
0.333 0.667 0.249
0.667 0.333 0.751
0.000 0.000 0.500
0.000 0.000 0.000
0.333 0.667 0.596
0.333 0.667 0.906
0.667 0.333 0.094
0.667 0.333 0.404
```

As for the crystal system: trigonal. The volume is 315.4 Å³/cell. The spin magnetization comes out at 0.0 μB/cell. As for the total energy: -4.532 eV/atom.

No. 19
DFT (PBE-GGA) results for a relaxed structure of CsUZnTe3.

The structure in POSCAR format:
```
CsUZnTe3
1.0
2.218 -8.618 0.000
2.218 8.618 0.000
0.000 0.000 11.853
Cs U Zn Te
2 2 2 6
Direct
0.244 0.756 0.750
0.756 0.244 0.250
0.500 0.500 0.000
0.500 0.500 0.500
0.038 0.962 0.250
0.962 0.038 0.750
0.122 0.878 0.062
0.122 0.878 0.438
0.441 0.559 0.250
0.559 0.441 0.750
0.878 0.122 0.562
0.878 0.122 0.938
```

As for the crystal system: orthorhombic. The volume is 453.2 Å³/cell. The spin magnetization comes out at 6.0 μB/cell. As for the total energy: -4.524 eV/atom.

No. 20
DFT (PBE-GGA) results for a relaxed structure of CsZrUTe5.

The structure in POSCAR format:
```
CsZrUTe5
1.0
6.307 0.000 0.000
0.000 8.637 0.000
0.000 0.000 10.583
Cs Zr U Te
2 2 2 10
Direct
0.250 0.000 0.214
0.750 0.000 0.786
0.000 0.500 0.000
0.500 0.500 0.000
0.250 0.500 0.666
0.750 0.500 0.334
0.000 0.259 0.500
0.000 0.741 0.500
0.250 0.254 0.879
0.250 0.500 0.233
0.250 0.746 0.879
0.500 0.259 0.500
0.500 0.741 0.500
0.750 0.254 0.121
0.750 0.500 0.767
0.750 0.746 0.121
```

As for the crystal system: orthorhombic. The volume is 576.5 Å³/cell. The spin magnetization comes out at 0.2 μB/cell. As for the total energy: -5.362 eV/atom.

No. 21
DFT (PBE-GGA) results for a relaxed structure of CsTeW.

The structure in POSCAR format:
```
CsTeW
1.0
0.000 4.051 4.051
4.051 0.000 4.051
4.051 4.051 0.000
Cs Te W
1 1 1
Direct
0.000 0.000 0.000
0.750 0.750 0.750
0.250 0.250 0.250
```

As for the crystal system: cubic. As for the energy above the lowest structure with this stoichiometry: 597 meV/atom. The volume is 132.9 Å³/cell. The spin magnetization comes out at 5.0 μB/cell. As for the total energy: -3.545 eV/atom.

No. 22
DFT (PBE-GGA) results for a relaxed structure of CsTeW.

The structure in POSCAR format:
```
CsTeW
1.0
0.000 3.815 3.815
3.815 0.000 3.815
3.815 3.815 0.000
Cs Te W
1 1 1
Direct
0.000 0.000 0.000
0.500 0.500 0.500
0.250 0.250 0.250
```

As for the crystal system: cubic. As for the energy above the lowest structure with this stoichiometry: 0 meV/atom. The volume is 111.0 Å³/cell. The spin magnetization comes out at 4.9 μB/cell. As for the total energy: -4.141 eV/atom.

No. 23
DFT (PBE-GGA) results for a relaxed structure of CsYZnTe3.

The structure in POSCAR format:
```
CsYZnTe3
1.0
2.206 -8.653 0.000
2.206 8.653 0.000
0.000 0.000 11.706
Cs Y Zn Te
2 2 2 6
Direct
0.247 0.753 0.750
0.753 0.247 0.250
0.500 0.500 0.000
0.500 0.500 0.500
0.036 0.964 0.250
0.964 0.036 0.750
0.120 0.880 0.059
0.120 0.880 0.441
0.439 0.561 0.250
0.561 0.439 0.750
0.880 0.120 0.559
0.880 0.120 0.941
```

As for the crystal system: orthorhombic. The volume is 446.8 Å³/cell. The spin magnetization comes out at 0.0 μB/cell. As for the total energy: -4.117 eV/atom.

No. 24
DFT (PBE-GGA) results for a relaxed structure of CsYZnTe3.

The structure in POSCAR format:
```
CsYZnTe3
1.0
10.287 0.000 0.000
0.000 4.437 0.000
-4.095 0.000 10.103
Cs Y Zn Te
2 2 2 6
Direct
0.222 0.250 0.251
0.778 0.750 0.749
0.327 0.750 0.865
0.673 0.250 0.135
0.081 0.250 0.611
0.919 0.750 0.389
0.114 0.250 0.863
0.201 0.750 0.546
0.479 0.750 0.165
0.521 0.250 0.835
0.799 0.250 0.454
0.886 0.750 0.137
```

As for the crystal system: monoclinic. The volume is 461.1 Å³/cell. The spin magnetization comes out at 0.0 μB/cell. As for the total energy: -4.097 eV/atom.

No. 25
DFT (PBE-GGA) results for a relaxed structure of CsZnTe.

The structure in POSCAR format:
```
CsZnTe
1.0
5.566 0.000 0.000
0.000 5.619 0.000
2.750 2.806 8.736
Cs Zn Te
2 2 2
Direct
0.150 0.151 0.196
0.850 0.849 0.804
0.220 0.500 0.500
0.780 0.500 0.500
0.377 0.376 0.749
0.623 0.624 0.251
```

As for the crystal system: triclinic. As for the energy above the lowest structure with this stoichiometry: 0 meV/atom. The volume is 273.2 Å³/cell. As for the total energy: -2.424 eV/atom.

No. 26
DFT (PBE-GGA) results for a relaxed structure of CsZnTe.

The structure in POSCAR format:
```
CsZnTe
1.0
0.000 4.103 4.103
4.103 0.000 4.103
4.103 4.103 0.000
Cs Zn Te
1 1 1
Direct
0.000 0.000 0.000
0.500 0.500 0.500
0.250 0.250 0.250
```

As for the crystal system: cubic. As for the energy above the lowest structure with this stoichiometry: 493 meV/atom. The volume is 138.2 Å³/cell. As for the total energy: -1.930 eV/atom.

No. 27
DFT (PBE-GGA) results for a relaxed structure of CsZnTe.

The structure in POSCAR format:
```
CsZnTe
1.0
0.000 4.244 4.244
4.244 0.000 4.244
4.244 4.244 0.000
Cs Zn Te
1 1 1
Direct
0.000 0.000 0.000
0.250 0.250 0.250
0.750 0.750 0.750
```

As for the crystal system: cubic. As for the energy above the lowest structure with this stoichiometry: 774 meV/atom. The volume is 152.9 Å³/cell. As for the total energy: -1.649 eV/atom.